CrGaOF2 | PBE+U | optimized geometry

Cell lengths 4.9585, 3.4726, 4.9585 Å; angles 90.00, 90.00, 90.00 degrees
Closest atoms and distances in Å follow each position.
Positions (direct):
Cr (0.0000, 0.5000, 0.0000)  2 O 1.74
O (0.0000, 0.0000, 0.0000)  2 Cr 1.74
Ga (0.5000, 0.5000, 0.5000)  8 F 3.03
F (0.0000, 0.0000, 0.5000)  2 O 2.48
F (0.5000, 0.0000, 0.0000)  2 O 2.48

Output
V: 85.38 Å³ per cell
DOS at the Fermi energy: 1.32 states/eV per cell
total energy: -4.8483 eV per atom